[1]
BaZrMn: optimized geometry, PBE. Values from VASP.

```
&SYSTEM
  ibrav = 0, nat = 3, ntyp = 3
/
ATOMIC_SPECIES
Ba 137.33 Ba.upf
Zr 91.22 Zr.upf
Mn 54.94 Mn.upf
ATOMIC_POSITIONS angstrom
Ba 0.000 0.000 0.000
Zr 0.000 2.076 4.150
Mn 1.798 1.038 2.505
CELL_PARAMETERS angstrom
3.596 0.000 0.000
-1.798 3.114 0.000
0.000 0.000 7.386
```

Summary:
Its magnetic moment is 0.57 μB/atom. As for the formation energy: 0.72 eV per atom.



[2]
BaZr3Mn: optimized geometry, PBE. Values from VASP.

```
&SYSTEM
  ibrav = 0, nat = 5, ntyp = 3
/
ATOMIC_SPECIES
Ba 137.33 Ba.upf
Zr 91.22 Zr.upf
Mn 54.94 Mn.upf
ATOMIC_POSITIONS angstrom
Ba 0.000 0.000 0.000
Zr 0.000 2.540 2.540
Zr 2.540 0.000 2.540
Zr 2.540 2.540 0.000
Mn 2.540 2.540 2.540
CELL_PARAMETERS angstrom
5.080 0.000 0.000
0.000 5.080 0.000
0.000 0.000 5.080
```

Summary:
Its magnetic moment is 0.00 μB/atom. As for the formation energy: 0.42 eV per atom.



[3]
BaZr2Mn: optimized geometry, PBE. Values from VASP.

```
&SYSTEM
  ibrav = 0, nat = 4, ntyp = 3
/
ATOMIC_SPECIES
Ba 137.33 Ba.upf
Zr 91.22 Zr.upf
Mn 54.94 Mn.upf
ATOMIC_POSITIONS angstrom
Ba 0.000 0.000 0.000
Zr 0.000 2.725 2.733
Zr 1.692 0.000 2.733
Mn 1.692 2.725 0.000
CELL_PARAMETERS angstrom
3.385 0.000 0.000
0.000 5.451 0.000
0.000 0.000 5.467
```

Summary:
Its magnetic moment is 0.81 μB/atom. As for the formation energy: 0.71 eV per atom.



[4]
Ba3ZrMn: optimized geometry, PBE. Values from VASP.

```
&SYSTEM
  ibrav = 0, nat = 5, ntyp = 3
/
ATOMIC_SPECIES
Ba 137.33 Ba.upf
Zr 91.22 Zr.upf
Mn 54.94 Mn.upf
ATOMIC_POSITIONS angstrom
Ba 0.000 0.000 3.131
Ba 0.000 3.131 0.000
Ba 3.131 0.000 0.000
Zr 0.000 0.000 0.000
Mn 3.131 3.131 3.131
CELL_PARAMETERS angstrom
6.262 0.000 0.000
0.000 6.262 0.000
0.000 0.000 6.262
```

Summary:
Its magnetic moment is 1.10 μB/atom. As for the formation energy: 1.07 eV per atom.



[5]
BaZrMn2: optimized geometry, PBE. Values from VASP.

```
&SYSTEM
  ibrav = 0, nat = 8, ntyp = 3
/
ATOMIC_SPECIES
Ba 137.33 Ba.upf
Zr 91.22 Zr.upf
Mn 54.94 Mn.upf
ATOMIC_POSITIONS angstrom
Ba 0.000 0.000 0.000
Ba 3.294 1.901 0.000
Zr -0.001 0.000 4.308
Zr 3.293 1.901 4.308
Mn 1.098 1.901 2.777
Mn 2.196 0.000 2.444
Mn 4.392 0.000 2.777
Mn 5.490 1.901 2.444
CELL_PARAMETERS angstrom
6.587 0.000 0.000
0.000 3.801 0.000
-2.187 0.000 7.638
```

Summary:
Its magnetic moment is 0.18 μB/atom. As for the formation energy: 0.40 eV per atom.



[6]
BaZrMn2: optimized geometry, PBE. Values from VASP.

```
&SYSTEM
  ibrav = 0, nat = 16, ntyp = 3
/
ATOMIC_SPECIES
Ba 137.33 Ba.upf
Zr 91.22 Zr.upf
Mn 54.94 Mn.upf
ATOMIC_POSITIONS angstrom
Ba 0.000 1.328 6.554
Ba 0.000 3.984 10.923
Ba 2.656 1.328 2.185
Ba 2.656 3.984 15.292
Zr 0.000 1.328 15.292
Zr 0.000 3.984 2.185
Zr 2.656 1.328 10.923
Zr 2.656 3.984 6.554
Mn 0.000 0.000 0.000
Mn 0.000 2.656 0.000
Mn 1.328 1.328 13.108
Mn 1.328 3.984 4.369
Mn 2.656 0.000 8.739
Mn 2.656 2.656 8.739
Mn 3.984 1.328 13.108
Mn 3.984 3.984 4.369
CELL_PARAMETERS angstrom
5.313 0.000 0.000
0.000 5.313 0.000
0.000 0.000 17.477
```

Summary:
Its magnetic moment is 1.33 μB/atom. As for the formation energy: 0.85 eV per atom.



[7]
BaZr2Mn: optimized geometry, PBE. Values from VASP.

```
&SYSTEM
  ibrav = 0, nat = 8, ntyp = 3
/
ATOMIC_SPECIES
Ba 137.33 Ba.upf
Zr 91.22 Zr.upf
Mn 54.94 Mn.upf
ATOMIC_POSITIONS angstrom
Ba 0.000 0.000 0.000
Ba 3.591 2.065 0.000
Zr 0.008 0.000 4.740
Zr 1.209 2.065 2.777
Zr 3.599 2.065 4.740
Zr 4.800 0.000 2.777
Mn -1.187 2.065 3.759
Mn 2.404 0.000 3.759
CELL_PARAMETERS angstrom
7.182 0.000 0.000
0.000 4.129 0.000
-2.374 0.000 7.517
```

Summary:
Its magnetic moment is 0.00 μB/atom. As for the formation energy: 0.41 eV per atom.



[8]
BaZr2Mn: optimized geometry, PBE. Values from VASP.

```
&SYSTEM
  ibrav = 0, nat = 8, ntyp = 3
/
ATOMIC_SPECIES
Ba 137.33 Ba.upf
Zr 91.22 Zr.upf
Mn 54.94 Mn.upf
ATOMIC_POSITIONS angstrom
Ba 0.000 0.000 0.000
Ba 3.081 5.213 0.000
Zr 1.540 2.606 1.564
Zr 1.540 7.819 1.564
Zr 4.621 2.606 1.564
Zr 4.621 7.819 1.564
Mn 0.000 5.213 0.000
Mn 3.081 0.000 0.000
CELL_PARAMETERS angstrom
6.162 0.000 0.000
0.000 10.426 0.000
0.000 0.000 3.128
```

Summary:
Its magnetic moment is 0.70 μB/atom. As for the formation energy: 0.81 eV per atom.



[9]
BaZrMn: optimized geometry, PBE. Values from VASP.

```
&SYSTEM
  ibrav = 0, nat = 3, ntyp = 3
/
ATOMIC_SPECIES
Ba 137.33 Ba.upf
Zr 91.22 Zr.upf
Mn 54.94 Mn.upf
ATOMIC_POSITIONS angstrom
Ba 0.000 0.000 0.000
Zr 0.000 2.995 1.809
Mn 2.594 1.498 1.809
CELL_PARAMETERS angstrom
5.188 0.000 0.000
-2.594 4.493 0.000
0.000 0.000 3.619
```

Summary:
Its magnetic moment is 0.89 μB/atom. As for the formation energy: 0.80 eV per atom.



[10]
BaZrMn2: optimized geometry, PBE. Values from VASP.

```
&SYSTEM
  ibrav = 0, nat = 8, ntyp = 3
/
ATOMIC_SPECIES
Ba 137.33 Ba.upf
Zr 91.22 Zr.upf
Mn 54.94 Mn.upf
ATOMIC_POSITIONS angstrom
Ba 0.000 0.000 0.000
Ba 4.540 1.660 0.000
Zr -0.555 1.660 3.429
Zr 3.985 0.000 3.429
Mn 1.436 0.000 4.445
Mn 1.994 1.660 2.414
Mn 5.976 1.660 4.445
Mn 6.534 0.000 2.414
CELL_PARAMETERS angstrom
9.080 0.000 0.000
0.000 3.320 0.000
-1.111 0.000 6.859
```

Summary:
Its magnetic moment is 1.41 μB/atom. As for the formation energy: 0.58 eV per atom.



[11]
BaZr2Mn: optimized geometry, PBE. Values from VASP.

```
&SYSTEM
  ibrav = 0, nat = 4, ntyp = 3
/
ATOMIC_SPECIES
Ba 137.33 Ba.upf
Zr 91.22 Zr.upf
Mn 54.94 Mn.upf
ATOMIC_POSITIONS angstrom
Ba 0.000 0.000 0.000
Zr -0.002 0.000 4.910
Zr 1.778 1.775 3.067
Mn 1.777 1.775 6.078
CELL_PARAMETERS angstrom
3.557 0.000 0.000
0.000 3.549 0.000
-0.008 0.000 8.550
```

Summary:
Its magnetic moment is 0.81 μB/atom. As for the formation energy: 0.37 eV per atom.



[12]
BaZr2Mn: optimized geometry, PBE. Values from VASP.

```
&SYSTEM
  ibrav = 0, nat = 8, ntyp = 3
/
ATOMIC_SPECIES
Ba 137.33 Ba.upf
Zr 91.22 Zr.upf
Mn 54.94 Mn.upf
ATOMIC_POSITIONS angstrom
Ba 1.302 1.302 1.302
Ba 9.116 9.116 9.116
Zr 5.209 2.604 2.604
Zr 2.604 5.209 2.604
Zr 2.604 2.604 5.209
Zr 5.209 5.209 5.209
Mn 3.907 3.907 3.907
Mn 6.511 6.511 6.511
CELL_PARAMETERS angstrom
0.000 5.209 5.209
5.209 0.000 5.209
5.209 5.209 0.000
```

Summary:
Its magnetic moment is 0.00 μB/atom. As for the formation energy: 0.83 eV per atom.



| no. | ΔE to the lowest computed polymorph (eV per atom) |
| --- | --- |
| 1 | 0.239 |
| 2 | 0.000 |
| 3 | 0.418 |
| 4 | 0.000 |
| 5 | 0.019 |
| 6 | 0.474 |
| 7 | 0.114 |
| 8 | 0.510 |
| 9 | 0.317 |
| 10 | 0.199 |
| 11 | 0.074 |
| 12 | 0.536 |